## CaCu2Os (PBE-GGA)

Data for crystalline CaCu2Os at its relaxed geometry.

Output
As for the energy above the lowest structure with this stoichiometry: 307 meV per atom. For the formation enthalpy at 0 K, the calculation gives 2.6 eV/f.u. Its total energy is -4.701 eV per atom.

a = 9.3661 Å, b = 9.3661 Å, c = 9.3661 Å
α = 17.22°, β = 17.22°, γ = 17.22°
Atoms (fractional coordinates):
Cu 0.9928 0.9928 0.9928
Cu 0.5072 0.5072 0.5072
Ca 0.7500 0.7500 0.7500
Os 0.2500 0.2500 0.2500